Record 1
Computed, not measured: a relaxed CsP2HS crystal at the GGA-PBE level of DFT.

abc: 4.405 4.405 5.122
angles: 90.00 90.00 90.00
Sites, in units of the cell vectors:
P  0.500  0.000  0.000
P  0.000  0.500  0.000
S  0.000  0.000  0.500
H  0.000  0.000  0.000
Cs  0.500  0.500  0.500

Summary:
* crystal system: tetragonal
* VASP energy: -2.94 eV per atom



Record 2
Computed, not measured: a relaxed LaPr8Dy3 crystal at the GGA-PBE level of DFT.

abc: 8.872 8.872 8.872
angles: 96.88 99.79 135.24
Sites, in units of the cell vectors:
Pr  0.501  0.229  0.272
Pr  0.956  0.229  0.728
Pr  0.833  0.253  0.086
Pr  0.167  0.747  0.914
Pr  0.499  0.771  0.728
Pr  0.833  0.747  0.580
Pr  0.167  0.253  0.420
Pr  0.044  0.771  0.272
Dy  0.500  0.222  0.722
Dy  0.000  0.500  0.500
Dy  0.500  0.778  0.278
La  0.000  0.000  0.000

Summary:
* crystal system: orthorhombic
* ΔE_f: 329 meV/atom